A plane-wave DFT calculation with PBE was carried out for an optimized crystal structure of Pr6IrSe3S2.

Calculated values
The space group is C2/m (12). Its density is 6.96 Mg/m³. The value obtained for the total moment is 0.0 μB per formula unit. The calculation puts the calculated total energy at -6.389 eV per atom. The energy relative to the elements, uncorrected comes out at -1.70 eV/atom.

a = 9.496 Å, b = 9.496 Å, c = 8.531 Å
α = 103.48°, β = 103.48°, γ = 25.29°
Sites, in units of the cell vectors:
Pr: 0.002 0.002 0.234
Pr: 0.330 0.330 0.427
Pr: 0.337 0.337 0.910
Pr: 0.663 0.663 0.090
Pr: 0.670 0.670 0.573
Pr: 0.998 0.998 0.766
Ir: 0.500 0.500 0.000
Se: 0.168 0.168 0.830
Se: 0.500 0.500 0.500
Se: 0.832 0.832 0.170
S: 0.168 0.168 0.334
S: 0.832 0.832 0.666



A plane-wave DFT calculation with PBE was carried out for an optimized crystal structure of Mg14TiC.

Calculated values
The space group is Amm2 (38). Its density is 1.94 Mg/m³. The value obtained for the total moment is 0.8 μB per formula unit. The calculation puts the calculated total energy at -2.208 eV per atom. Its energy relative to the lowest polymorph listed for this composition is 0.0 kJ per mole of atoms. For the formation energy, the calculation gives 257 meV/atom.

a = 10.261 Å, b = 6.380 Å, c = 6.380 Å
α = 55.17°, β = 90.00°, γ = 90.00°
Sites, in units of the cell vectors:
Mg: 0.000 0.000 0.000
Mg: 0.000 0.489 0.489
Mg: 0.000 0.489 0.992
Mg: 0.000 0.992 0.489
Mg: 0.251 0.154 0.640
Mg: 0.251 0.640 0.154
Mg: 0.253 0.646 0.646
Mg: 0.357 0.096 0.096
Mg: 0.500 0.014 0.546
Mg: 0.500 0.546 0.014
Mg: 0.643 0.096 0.096
Mg: 0.747 0.646 0.646
Mg: 0.749 0.154 0.640
Mg: 0.749 0.640 0.154
Ti: 0.500 0.517 0.517
C: 0.500 0.938 0.938



A plane-wave DFT calculation with PBE was carried out for an optimized crystal structure of P2PbSe.

Calculated values
The space group is Cmm2 (35). Its density is 4.78 Mg/m³. The value obtained for the total moment is 0.0 μB per formula unit. The calculation puts the calculated total energy at -4.197 eV per atom. The energy relative to the elements, uncorrected comes out at 0.31 eV/atom. Its energy relative to the lowest polymorph listed for this composition is 31.3 kJ per mole of atoms.

a = 4.319 Å, b = 4.319 Å, c = 8.724 Å
α = 90.00°, β = 90.00°, γ = 131.96°
Sites, in units of the cell vectors:
P: 0.000 0.000 0.000
P: 0.500 0.500 0.149
Pb: 0.000 0.000 0.483
Se: 0.500 0.500 0.715



A plane-wave DFT calculation with PBE was carried out for an optimized crystal structure of EuDyZnHg.

Calculated values
The space group is F-43m (216). Its density is 9.29 Mg/m³. The value obtained for the total moment is 7.0 μB per formula unit. The calculation puts the calculated total energy at -4.486 eV per atom. For the formation energy, the calculation gives -373 meV/atom.

a = 5.275 Å, b = 5.275 Å, c = 5.275 Å
α = 60.00°, β = 60.00°, γ = 60.00°
Sites, in units of the cell vectors:
Eu: 0.000 0.000 0.000
Dy: 0.500 0.500 0.500
Zn: 0.750 0.750 0.750
Hg: 0.250 0.250 0.250



A plane-wave DFT calculation with PBE was carried out for an optimized crystal structure of VCo2B.

Calculated values
The space group is I-42d (122). Its density is 7.02 Mg/m³. The value obtained for the total moment is 0.0 μB per formula unit. The calculation puts the calculated total energy at -7.441 eV per atom. For the formation energy, the calculation gives 61 meV/atom.

a = 4.902 Å, b = 4.902 Å, c = 4.902 Å
α = 101.93°, β = 101.93°, γ = 125.92°
Sites, in units of the cell vectors:
V: 0.000 0.000 0.000
V: 0.750 0.250 0.500
Co: 0.217 0.125 0.592
Co: 0.375 0.783 0.908
Co: 0.533 0.625 0.408
Co: 0.875 0.467 0.092
B: 0.250 0.750 0.500
B: 0.500 0.500 0.000



A plane-wave DFT calculation with PBE was carried out for an optimized crystal structure of SmDy5Ag6.

Calculated values
The space group is Cmmm (65). Its density is 9.17 Mg/m³. The value obtained for the total moment is 0.0 μB per formula unit. The calculation puts the calculated total energy at -4.052 eV per atom. For the formation energy, the calculation gives -315 meV/atom.

a = 8.199 Å, b = 8.199 Å, c = 7.235 Å
α = 90.00°, β = 90.00°, γ = 143.15°
Sites, in units of the cell vectors:
Sm: 0.000 0.000 0.000
Dy: 0.000 0.000 0.500
Dy: 0.333 0.667 0.000
Dy: 0.334 0.666 0.500
Dy: 0.666 0.334 0.500
Dy: 0.667 0.333 0.000
Ag: 0.169 0.831 0.253
Ag: 0.169 0.831 0.747
Ag: 0.500 0.500 0.255
Ag: 0.500 0.500 0.745
Ag: 0.831 0.169 0.253
Ag: 0.831 0.169 0.747